No. 1
This record from Alexandria via LeMat-Bulk describes Ta2InFe at its PBEsol-relaxed geometry. The functional is meta-GGA SCAN.

Results
* calculated total energy: -45.89 eV per atom
* DOS at the Fermi energy: 0.85 states/eV/atom
* crystal system: trigonal
* magnetization: 2.2 μB per cell
* E_form: 27.5 kJ/mol of atoms

abc: 9.044 9.044 9.044
angles: 18.83 18.83 18.83
Fractional positions:
Ta: 0.239 0.239 0.239
Ta: 0.761 0.761 0.761
In: 0.000 0.000 0.000
Fe: 0.500 0.500 0.500



No. 2
This record from Alexandria via LeMat-Bulk describes Ta3InFe at its PBEsol-relaxed geometry. The functional is meta-GGA SCAN.

Results
* calculated total energy: -47.79 eV per atom
* DOS at the Fermi energy: 1.33 states/eV/atom
* crystal system: cubic
* magnetization: 3.5 μB per cell
* E_form: 238.1 kJ/mol of atoms

abc: 4.908 4.908 4.908
angles: 90.00 90.00 90.00
Fractional positions:
Ta: 0.000 0.000 0.500
Ta: 0.000 0.500 0.000
Ta: 0.500 0.000 0.000
In: 0.000 0.000 0.000
Fe: 0.500 0.500 0.500



No. 3
This record from Alexandria via LeMat-Bulk describes TaIn2FeTc at its PBEsol-relaxed geometry. The functional is meta-GGA SCAN.

Results
* calculated total energy: -36.09 eV per atom
* DOS at the Fermi energy: 0.84 states/eV/atom
* crystal system: tetragonal
* magnetization: 2.0 μB per cell
* E_form: 117.7 kJ/mol of atoms

abc: 4.683 4.683 4.294
angles: 90.00 90.00 90.00
Fractional positions:
Ta: 0.000 0.000 0.000
In: 0.000 0.500 0.500
In: 0.500 0.000 0.500
Fe: 0.500 0.500 0.500
Tc: 0.500 0.500 0.000



No. 4
This record from Alexandria via LeMat-Bulk describes InFe2Tc at its PBEsol-relaxed geometry. The functional is meta-GGA SCAN.

Results
* calculated total energy: -25.89 eV per atom
* DOS at the Fermi energy: 1.33 states/eV/atom
* crystal system: cubic
* magnetization: 5.3 μB per cell
* E_form: 28.0 kJ/mol of atoms

abc: 4.287 4.287 4.287
angles: 60.00 60.00 60.00
Fractional positions:
In: 0.000 0.000 0.000
Fe: 0.250 0.250 0.250
Fe: 0.500 0.500 0.500
Tc: 0.750 0.750 0.750



No. 5
This record from Alexandria via LeMat-Bulk describes InFeTc2 at its PBEsol-relaxed geometry. The functional is meta-GGA SCAN.

Results
* calculated total energy: -30.23 eV per atom
* DOS at the Fermi energy: 0.92 states/eV/atom
* crystal system: tetragonal
* magnetization: 2.8 μB per cell
* E_form: 17.2 kJ/mol of atoms

abc: 2.812 2.812 7.383
angles: 90.00 90.00 90.00
Fractional positions:
In: 0.000 0.000 0.000
Fe: 0.500 0.500 0.739
Tc: 0.000 0.000 0.514
Tc: 0.500 0.500 0.288



No. 6
This record from Alexandria via LeMat-Bulk describes InFe2Tc at its PBEsol-relaxed geometry. The functional is meta-GGA SCAN.

Results
* calculated total energy: -25.91 eV per atom
* DOS at the Fermi energy: 1.06 states/eV/atom
* crystal system: tetragonal
* magnetization: 5.4 μB per cell
* E_form: 26.1 kJ/mol of atoms

abc: 4.679 4.679 4.679
angles: 132.08 132.08 70.11
Fractional positions:
In: 0.000 0.000 0.000
Fe: 0.250 0.750 0.500
Fe: 0.500 0.500 0.000
Tc: 0.750 0.250 0.500



No. 7
This record from Alexandria via LeMat-Bulk describes InFe2Tc at its PBEsol-relaxed geometry. The functional is meta-GGA SCAN.

Results
* calculated total energy: -25.91 eV per atom
* DOS at the Fermi energy: 0.76 states/eV/atom
* crystal system: tetragonal
* magnetization: 6.0 μB per cell
* E_form: 25.9 kJ/mol of atoms

abc: 4.490 4.490 4.490
angles: 127.36 127.36 77.67
Fractional positions:
In: 0.000 0.000 0.000
Fe: 0.250 0.750 0.500
Fe: 0.750 0.250 0.500
Tc: 0.500 0.500 0.000



No. 8
This record from Alexandria via LeMat-Bulk describes InFeTc2 at its PBEsol-relaxed geometry. The functional is meta-GGA SCAN.

Results
* calculated total energy: -30.10 eV per atom
* DOS at the Fermi energy: 0.78 states/eV/atom
* crystal system: tetragonal
* magnetization: 1.2 μB per cell
* E_form: 29.9 kJ/mol of atoms

abc: 4.911 4.911 4.911
angles: 135.49 135.49 64.77
Fractional positions:
In: 0.000 0.000 0.000
Fe: 0.500 0.500 0.000
Tc: 0.250 0.750 0.500
Tc: 0.750 0.250 0.500



Copy entry 1 word for word.
This record from Alexandria via LeMat-Bulk describes Ta2InFe at its PBEsol-relaxed geometry. The functional is meta-GGA SCAN.

Results
* calculated total energy: -45.89 eV per atom
* DOS at the Fermi energy: 0.85 states/eV/atom
* crystal system: trigonal
* magnetization: 2.2 μB per cell
* E_form: 27.5 kJ/mol of atoms

abc: 9.044 9.044 9.044
angles: 18.83 18.83 18.83
Fractional positions:
Ta: 0.239 0.239 0.239
Ta: 0.761 0.761 0.761
In: 0.000 0.000 0.000
Fe: 0.500 0.500 0.500



- magnetization of number 3 (TaIn2FeTc)?
  2.0 μB per cell